#one
Density functional theory data (GGA-PBE) for Ce2GaSn4 after structural relaxation.

a = 4.516 Å, b = 4.516 Å, c = 9.268 Å
α = 90.00°, β = 90.00°, γ = 90.00°
Fractional coordinates of all 7 atoms:
Ce 0.000 0.500 0.229
Ce 0.500 0.000 0.771
Ga 0.500 0.500 0.000
Sn 0.000 0.000 0.500
Sn 0.000 0.500 0.817
Sn 0.500 0.000 0.183
Sn 0.500 0.500 0.500



#two
Density functional theory data (GGA-PBE) for Ce2GaSn4 after structural relaxation.

a = 9.091 Å, b = 9.291 Å, c = 4.535 Å
α = 90.00°, β = 90.00°, γ = 90.00°
Fractional coordinates of all 14 atoms:
Ce 0.239 0.000 0.000
Ce 0.261 0.500 0.000
Ce 0.739 0.500 0.000
Ce 0.761 0.000 0.000
Ga 0.000 0.000 0.500
Ga 0.500 0.500 0.500
Sn 0.000 0.263 0.000
Sn 0.000 0.737 0.000
Sn 0.250 0.250 0.500
Sn 0.250 0.750 0.500
Sn 0.500 0.237 0.000
Sn 0.500 0.763 0.000
Sn 0.750 0.250 0.500
Sn 0.750 0.750 0.500



Short version: #two is the most stable of them.



#one
Density functional theory data (GGA-PBE) for CeGaSn2 after structural relaxation.

a = 4.874 Å, b = 4.874 Å, c = 15.437 Å
α = 90.00°, β = 90.00°, γ = 120.00°
Fractional coordinates of all 12 atoms:
Ce 0.000 0.000 0.000
Ce 0.333 0.667 0.667
Ce 0.667 0.333 0.333
Ga 0.000 0.000 0.500
Ga 0.333 0.667 0.167
Ga 0.667 0.333 0.833
Sn 0.000 0.000 0.222
Sn 0.000 0.000 0.778
Sn 0.333 0.667 0.444
Sn 0.333 0.667 0.889
Sn 0.667 0.333 0.111
Sn 0.667 0.333 0.556



#two
Density functional theory data (GGA-PBE) for CeGaSn2 after structural relaxation.

a = 4.557 Å, b = 4.557 Å, c = 4.694 Å
α = 90.00°, β = 90.00°, γ = 90.00°
Fractional coordinates of all 4 atoms:
Ce 0.000 0.000 0.000
Ga 0.500 0.500 0.000
Sn 0.000 0.500 0.500
Sn 0.500 0.000 0.500



Short version: #two is the most stable of them.



#one
Density functional theory data (GGA-PBE) for Ce6GaSn2 after structural relaxation.

a = 9.179 Å, b = 9.179 Å, c = 5.167 Å
α = 106.12°, β = 106.12°, γ = 43.65°
Fractional coordinates of all 9 atoms:
Ce 0.040 0.628 0.336
Ce 0.205 0.795 0.000
Ce 0.372 0.960 0.664
Ce 0.628 0.040 0.336
Ce 0.795 0.205 0.000
Ce 0.960 0.372 0.664
Ga 0.000 0.000 0.500
Sn 0.345 0.345 0.848
Sn 0.655 0.655 0.152



#two
Density functional theory data (GGA-PBE) for Ce6GaSn2 after structural relaxation.

a = 8.983 Å, b = 8.983 Å, c = 3.142 Å
α = 90.00°, β = 90.00°, γ = 120.00°
Fractional coordinates of all 9 atoms:
Ce 0.000 0.319 0.000
Ce 0.000 0.681 0.000
Ce 0.319 0.000 0.000
Ce 0.319 0.319 0.000
Ce 0.681 0.000 0.000
Ce 0.681 0.681 0.000
Ga 0.000 0.000 0.500
Sn 0.333 0.667 0.500
Sn 0.667 0.333 0.500



Short version: #two is the most stable of them.



#one
Density functional theory data (GGA-PBE) for Ce6GaSn after structural relaxation.

a = 4.718 Å, b = 4.718 Å, c = 9.399 Å
α = 90.00°, β = 90.00°, γ = 90.00°
Fractional coordinates of all 8 atoms:
Ce 0.000 0.000 0.000
Ce 0.000 0.000 0.500
Ce 0.000 0.500 0.242
Ce 0.000 0.500 0.758
Ce 0.500 0.000 0.242
Ce 0.500 0.000 0.758
Ga 0.500 0.500 0.000
Sn 0.500 0.500 0.500



#two
Density functional theory data (GGA-PBE) for Ce6GaSn after structural relaxation.

a = 5.327 Å, b = 6.783 Å, c = 11.672 Å
α = 90.00°, β = 90.00°, γ = 90.00°
Fractional coordinates of all 16 atoms:
Ce 0.000 0.000 0.000
Ce 0.000 0.238 0.216
Ce 0.000 0.262 0.716
Ce 0.000 0.500 0.500
Ce 0.000 0.738 0.716
Ce 0.000 0.762 0.216
Ce 0.500 0.000 0.633
Ce 0.500 0.246 0.408
Ce 0.500 0.254 0.908
Ce 0.500 0.500 0.133
Ce 0.500 0.746 0.908
Ce 0.500 0.754 0.408
Ga 0.500 0.000 0.153
Ga 0.500 0.500 0.653
Sn 0.000 0.000 0.473
Sn 0.000 0.500 0.973



Short version: #one is the most stable of them.



#one
Density functional theory data (GGA-PBE) for CeGa2Sn after structural relaxation.

a = 4.522 Å, b = 4.522 Å, c = 4.377 Å
α = 90.00°, β = 90.00°, γ = 90.00°
Fractional coordinates of all 4 atoms:
Ce 0.000 0.000 0.000
Ga 0.000 0.500 0.500
Ga 0.500 0.000 0.500
Sn 0.500 0.500 0.000



#two
Density functional theory data (GGA-PBE) for CeGa2Sn after structural relaxation.

a = 3.713 Å, b = 3.713 Å, c = 6.692 Å
α = 90.00°, β = 90.00°, γ = 90.00°
Fractional coordinates of all 4 atoms:
Ce 0.000 0.000 0.000
Ga 0.500 0.500 0.286
Ga 0.500 0.500 0.714
Sn 0.000 0.000 0.500



Short version: #one is the most stable of them.



#one
Density functional theory data (GGA-PBE) for SrCe2Ga after structural relaxation.

a = 3.571 Å, b = 3.571 Å, c = 35.070 Å
α = 90.00°, β = 90.00°, γ = 120.00°
Fractional coordinates of all 12 atoms:
Sr 0.000 0.000 0.000
Sr 0.333 0.667 0.667
Sr 0.667 0.333 0.333
Ce 0.000 0.000 0.102
Ce 0.000 0.000 0.898
Ce 0.333 0.667 0.565
Ce 0.333 0.667 0.769
Ce 0.667 0.333 0.231
Ce 0.667 0.333 0.435
Ga 0.000 0.000 0.500
Ga 0.333 0.667 0.167
Ga 0.667 0.333 0.833



#two
Density functional theory data (GGA-PBE) for SrCe2Ga after structural relaxation.

a = 3.927 Å, b = 3.927 Å, c = 8.635 Å
α = 90.00°, β = 90.00°, γ = 90.00°
Fractional coordinates of all 4 atoms:
Sr 0.000 0.000 0.000
Ce 0.500 0.500 0.343
Ce 0.500 0.500 0.657
Ga 0.000 0.000 0.500



Short version: #two is the most stable of them.



#one
Density functional theory data (GGA-PBE) for SrCe2Ga6 after structural relaxation.

a = 7.748 Å, b = 7.748 Å, c = 7.748 Å
α = 145.61°, β = 122.80°, γ = 68.48°
Fractional coordinates of all 9 atoms:
Sr 0.000 0.000 0.000
Ce 0.391 0.891 0.500
Ce 0.609 0.109 0.500
Ga 0.008 0.309 0.700
Ga 0.312 0.500 0.812
Ga 0.391 0.691 0.700
Ga 0.609 0.309 0.300
Ga 0.688 0.500 0.188
Ga 0.992 0.691 0.300



#two
Density functional theory data (GGA-PBE) for SrCe2Ga6 after structural relaxation.

a = 7.467 Å, b = 7.467 Å, c = 4.361 Å
α = 90.00°, β = 90.00°, γ = 120.00°
Fractional coordinates of all 9 atoms:
Sr 0.000 0.000 0.000
Ce 0.333 0.667 0.000
Ce 0.667 0.333 0.000
Ga 0.000 0.337 0.500
Ga 0.000 0.663 0.500
Ga 0.337 0.000 0.500
Ga 0.337 0.337 0.500
Ga 0.663 0.000 0.500
Ga 0.663 0.663 0.500



Short version: #two is the most stable of them.



#one
Density functional theory data (GGA-PBE) for Tb2CeGa3 after structural relaxation.

a = 3.531 Å, b = 6.038 Å, c = 14.702 Å
α = 90.00°, β = 90.00°, γ = 90.00°
Fractional coordinates of all 12 atoms:
Tb 0.000 0.000 0.167
Tb 0.000 0.000 0.833
Tb 0.500 0.500 0.333
Tb 0.500 0.500 0.667
Ce 0.000 0.000 0.500
Ce 0.500 0.500 0.000
Ga 0.000 0.500 0.168
Ga 0.000 0.500 0.500
Ga 0.000 0.500 0.832
Ga 0.500 0.000 0.000
Ga 0.500 0.000 0.332
Ga 0.500 0.000 0.668



#two
Density functional theory data (GGA-PBE) for Tb2CeGa3 after structural relaxation.

a = 5.093 Å, b = 5.093 Å, c = 12.542 Å
α = 90.00°, β = 90.00°, γ = 120.00°
Fractional coordinates of all 12 atoms:
Tb 0.000 0.000 0.000
Tb 0.000 0.000 0.500
Tb 0.333 0.667 0.164
Tb 0.667 0.333 0.836
Ce 0.333 0.667 0.665
Ce 0.667 0.333 0.335
Ga 0.000 0.000 0.247
Ga 0.000 0.000 0.753
Ga 0.333 0.667 0.415
Ga 0.333 0.667 0.918
Ga 0.667 0.333 0.082
Ga 0.667 0.333 0.585



Short version: #two is the most stable of them.



#one
Density functional theory data (GGA-PBE) for TbCeGa after structural relaxation.

a = 4.952 Å, b = 4.952 Å, c = 3.610 Å
α = 90.00°, β = 90.00°, γ = 120.00°
Fractional coordinates of all 3 atoms:
Tb 0.000 0.000 0.000
Ce 0.333 0.667 0.411
Ga 0.667 0.333 0.751



#two
Density functional theory data (GGA-PBE) for TbCeGa after structural relaxation.

a = 8.517 Å, b = 8.517 Å, c = 8.517 Å
α = 32.58°, β = 32.58°, γ = 32.58°
Fractional coordinates of all 6 atoms:
Tb 0.210 0.210 0.210
Tb 0.790 0.790 0.790
Ce 0.357 0.357 0.357
Ce 0.643 0.643 0.643
Ga 0.077 0.077 0.077
Ga 0.923 0.923 0.923



#three
Density functional theory data (GGA-PBE) for TbCeGa after structural relaxation.

a = 3.504 Å, b = 16.821 Å, c = 5.130 Å
α = 90.00°, β = 90.00°, γ = 90.00°
Fractional coordinates of all 12 atoms:
Tb 0.000 0.072 0.250
Tb 0.000 0.928 0.750
Tb 0.500 0.428 0.750
Tb 0.500 0.572 0.250
Ce 0.000 0.233 0.750
Ce 0.000 0.767 0.250
Ce 0.500 0.267 0.250
Ce 0.500 0.733 0.750
Ga 0.000 0.418 0.250
Ga 0.000 0.582 0.750
Ga 0.500 0.082 0.750
Ga 0.500 0.918 0.250



#four
Density functional theory data (GGA-PBE) for TbCeGa after structural relaxation.

a = 7.040 Å, b = 7.040 Å, c = 7.040 Å
α = 90.00°, β = 90.00°, γ = 90.00°
Fractional coordinates of all 12 atoms:
Tb 0.000 0.000 0.000
Tb 0.000 0.500 0.500
Tb 0.500 0.000 0.500
Tb 0.500 0.500 0.000
Ce 0.000 0.000 0.500
Ce 0.000 0.500 0.000
Ce 0.500 0.000 0.000
Ce 0.500 0.500 0.500
Ga 0.250 0.250 0.250
Ga 0.250 0.750 0.750
Ga 0.750 0.250 0.750
Ga 0.750 0.750 0.250



Short version: #three is the most stable of them.



#one
Density functional theory data (GGA-PBE) for CeGa2Tc after structural relaxation.

a = 3.002 Å, b = 3.002 Å, c = 28.052 Å
α = 90.00°, β = 90.00°, γ = 120.00°
Fractional coordinates of all 12 atoms:
Ce 0.000 0.000 0.000
Ce 0.333 0.667 0.667
Ce 0.667 0.333 0.333
Ga 0.000 0.000 0.237
Ga 0.000 0.000 0.763
Ga 0.333 0.667 0.429
Ga 0.333 0.667 0.904
Ga 0.667 0.333 0.096
Ga 0.667 0.333 0.571
Tc 0.000 0.000 0.500
Tc 0.333 0.667 0.167
Tc 0.667 0.333 0.833



#two
Density functional theory data (GGA-PBE) for CeGa2Tc after structural relaxation.

a = 4.640 Å, b = 6.702 Å, c = 5.086 Å
α = 90.00°, β = 108.40°, γ = 90.00°
Fractional coordinates of all 8 atoms:
Ce 0.033 0.250 0.133
Ce 0.967 0.750 0.867
Ga 0.405 0.052 0.718
Ga 0.405 0.448 0.718
Ga 0.595 0.552 0.282
Ga 0.595 0.948 0.282
Tc 0.122 0.750 0.373
Tc 0.878 0.250 0.627



Short version: #two is the most stable of them.



#one
Density functional theory data (GGA-PBE) for CeGa3Tc after structural relaxation.

a = 5.376 Å, b = 5.376 Å, c = 11.533 Å
α = 90.00°, β = 90.00°, γ = 120.00°
Fractional coordinates of all 15 atoms:
Ce 0.000 0.000 0.000
Ce 0.333 0.667 0.667
Ce 0.667 0.333 0.333
Ga 0.005 0.502 0.115
Ga 0.164 0.329 0.448
Ga 0.164 0.836 0.448
Ga 0.338 0.169 0.782
Ga 0.498 0.502 0.115
Ga 0.498 0.995 0.115
Ga 0.671 0.836 0.448
Ga 0.831 0.169 0.782
Ga 0.831 0.662 0.782
Tc 0.000 0.000 0.257
Tc 0.333 0.667 0.923
Tc 0.667 0.333 0.590



#two
Density functional theory data (GGA-PBE) for CeGa3Tc after structural relaxation.

a = 4.782 Å, b = 4.782 Å, c = 4.782 Å
α = 90.00°, β = 90.00°, γ = 90.00°
Fractional coordinates of all 5 atoms:
Ce 0.000 0.000 0.000
Ga 0.000 0.500 0.500
Ga 0.500 0.000 0.500
Ga 0.500 0.500 0.000
Tc 0.500 0.500 0.500



Short version: #two is the most stable of them.



#one
Density functional theory data (GGA-PBE) for Ce4Ga2Tc after structural relaxation.

a = 7.856 Å, b = 8.759 Å, c = 4.646 Å
α = 90.00°, β = 90.00°, γ = 90.00°
Fractional coordinates of all 14 atoms:
Ce 0.172 0.000 0.000
Ce 0.250 0.250 0.500
Ce 0.250 0.750 0.500
Ce 0.328 0.500 0.000
Ce 0.672 0.500 0.000
Ce 0.750 0.250 0.500
Ce 0.750 0.750 0.500
Ce 0.828 0.000 0.000
Ga 0.000 0.326 0.000
Ga 0.000 0.674 0.000
Ga 0.500 0.174 0.000
Ga 0.500 0.826 0.000
Tc 0.000 0.500 0.500
Tc 0.500 0.000 0.500



#two
Density functional theory data (GGA-PBE) for Ce4Ga2Tc after structural relaxation.

a = 7.388 Å, b = 3.278 Å, c = 7.772 Å
α = 90.00°, β = 107.77°, γ = 90.00°
Fractional coordinates of all 7 atoms:
Ce 0.160 0.000 0.356
Ce 0.299 0.500 0.956
Ce 0.701 0.500 0.044
Ce 0.840 0.000 0.644
Ga 0.472 0.500 0.654
Ga 0.528 0.500 0.346
Tc 0.000 0.000 0.000



Short version: #one is the most stable of them.